Record 1
Compound: CaMg4In2
Source: Alexandria via LeMat-Bulk
Functional: PBE
Structure: optimized geometry

abc: 8.6619 8.6619 4.7851
angles: 90.00 90.00 90.00
With the nearest neighbours (Å) after each atom.
Atoms (fractional coordinates):
Ca1 0.0000 0.0000 0.0000  6 In 3.52-3.54, 4 Mg 3.70
Ca2 0.5000 0.5000 0.5000  6 In 3.52-3.54, 4 Mg 3.70
Mg1 0.0995 0.3503 0.5000  3 In 2.94-2.96, 6 Mg 3.07-3.25
Mg2 0.1497 0.5995 0.0000  3 In 2.94-2.96, 6 Mg 3.07-3.25
Mg3 0.3503 0.0995 0.5000  3 In 2.94-2.96, 6 Mg 3.07-3.25
Mg4 0.4005 0.8503 0.0000  3 In 2.94-2.96, 6 Mg 3.07-3.25
Mg5 0.5995 0.1497 0.0000  3 In 2.94-2.96, 6 Mg 3.07-3.25
Mg6 0.6497 0.9005 0.5000  3 In 2.94-2.96, 6 Mg 3.07-3.25
Mg7 0.8503 0.4005 0.0000  3 In 2.94-2.96, 6 Mg 3.07-3.25
Mg8 0.9005 0.6497 0.5000  3 In 2.94-2.96, 6 Mg 3.07-3.25
In1 0.2128 0.7872 0.5000  6 Mg 2.94-2.96
In2 0.2872 0.2872 0.0000  6 Mg 2.94-2.96
In3 0.7128 0.7128 0.0000  6 Mg 2.94-2.96
In4 0.7872 0.2128 0.5000  6 Mg 2.94-2.96

## Properties
**E_tot**: -2.151 eV/atom
**Calculated formation energy**: -0.172 eV/atom
**Crystal system**: tetragonal



Record 2
Compound: LiEuNi
Source: Alexandria via LeMat-Bulk
Functional: PBE
Structure: optimized geometry

abc: 4.3270 4.3270 3.8732
angles: 90.00 90.00 120.00
With the nearest neighbours (Å) after each atom.
Atoms (fractional coordinates):
Li1 0.0000 0.0000 0.0000  3 Ni 2.50
Eu1 0.3333 0.6667 0.5000  6 Li 3.16, 6 Ni 3.16
Ni1 0.6667 0.3333 0.0000  3 Li 2.50

## Properties
**E_tot**: -5.928 eV/atom
**Calculated formation energy**: 0.062 eV/atom
**Energy relative to the lowest polymorph listed for this composition**: 0 meV/atom
**Crystal system**: hexagonal



Record 3
Compound: MgSiB3
Source: Alexandria via LeMat-Bulk
Functional: PBE
Structure: optimized geometry

abc: 4.0057 4.0057 4.0057
angles: 90.00 90.00 90.00
With the nearest neighbours (Å) after each atom.
Atoms (fractional coordinates):
Mg1 0.0000 0.0000 0.0000  12 B 2.83
Si1 0.5000 0.5000 0.5000  6 B 2.00
B1 0.0000 0.5000 0.5000  2 Si 2.00
B2 0.5000 0.0000 0.5000  2 Si 2.00
B3 0.5000 0.5000 0.0000  2 Si 2.00

## Properties
**E_tot**: -4.110 eV/atom
**Energy relative to the lowest polymorph listed for this composition**: 0 meV/atom
**Formation energy (no corrections)**: 1300 meV per atom
**Crystal system**: cubic



Record 4
Compound: Ba2Li2GeO6
Source: Alexandria via LeMat-Bulk
Functional: PBE
Structure: optimized geometry

abc: 6.1547 6.1547 6.1547
angles: 56.26 56.26 56.26
With the nearest neighbours (Å) after each atom.
Atoms (fractional coordinates):
Ba1 0.2338 0.2338 0.2338  12 O 2.92-3.23, 1 Li 2.95
Ba2 0.7662 0.7662 0.7662  12 O 2.92-3.23, 1 Li 2.95
Li1 0.4243 0.4243 0.4243  3 O 1.83
Li2 0.5757 0.5757 0.5757  3 O 1.83
Ge1 0.0000 0.0000 0.0000  6 O 1.91
O1 0.2262 0.2262 0.7673  1 Li 1.83, 1 Ge 1.91
O2 0.2262 0.7673 0.2262  1 Li 1.83, 1 Ge 1.91
O3 0.2327 0.7738 0.7738  1 Li 1.83, 1 Ge 1.91
O4 0.7673 0.2262 0.2262  1 Li 1.83, 1 Ge 1.91
O5 0.7738 0.2327 0.7738  1 Li 1.83, 1 Ge 1.91
O6 0.7738 0.7738 0.2327  1 Li 1.83, 1 Ge 1.91

## Properties
**E_tot**: -5.685 eV/atom
**Formation energy (no corrections)**: -1863 meV per atom
**Crystal system**: trigonal